Entry 1:
Os2BrCl: optimized geometry, GGA-PBEsol.

Values from the calculation:
energy above the lowest structure with this stoichiometry	0	meV per atom
E_form (uncorrected)	3.140	eV per formula unit
calculated total energy	-6.292	eV/atom

a b c (Å): 2.9560 2.9560 9.6337
angles (deg): 90.00 90.00 123.31
Fractional positions:
Os  0.0000  0.0000  0.0000
Os  0.5000  0.5000  0.2190
Br  0.0000  0.0000  0.4585
Cl  0.5000  0.5000  0.7927



Entry 2:
Ce2Zn3Ge6: optimized geometry, GGA-PBEsol.

Values from the calculation:
ΔH_f (0 K)	-412	meV/atom
calculated total energy	-4.736	eV/atom

a b c (Å): 12.2823 12.2823 5.8816
angles (deg): 90.00 90.00 152.29
Fractional positions:
Ce  0.1051  0.8949  0.7500
Ce  0.3939  0.6061  0.7500
Ce  0.6061  0.3939  0.2500
Ce  0.8949  0.1051  0.2500
Zn  0.1596  0.8404  0.2500
Zn  0.2710  0.2710  0.0000
Zn  0.2710  0.2710  0.5000
Zn  0.7290  0.7290  0.0000
Zn  0.7290  0.7290  0.5000
Zn  0.8404  0.1596  0.7500
Ge  0.0566  0.9434  0.2500
Ge  0.0834  0.4822  0.0332
Ge  0.0834  0.4822  0.4668
Ge  0.4271  0.5729  0.2500
Ge  0.4822  0.0834  0.5332
Ge  0.4822  0.0834  0.9668
Ge  0.5178  0.9166  0.0332
Ge  0.5178  0.9166  0.4668
Ge  0.5729  0.4271  0.7500
Ge  0.9166  0.5178  0.5332
Ge  0.9166  0.5178  0.9668
Ge  0.9434  0.0566  0.7500



calculated total energy of number 1 (Os2BrCl)?
-6.292 eV/atom



Copy entry 1 word for word.
Os2BrCl: optimized geometry, GGA-PBEsol.

Values from the calculation:
energy above the lowest structure with this stoichiometry	0	meV per atom
E_form (uncorrected)	3.140	eV per formula unit
calculated total energy	-6.292	eV/atom

a b c (Å): 2.9560 2.9560 9.6337
angles (deg): 90.00 90.00 123.31
Fractional positions:
Os  0.0000  0.0000  0.0000
Os  0.5000  0.5000  0.2190
Br  0.0000  0.0000  0.4585
Cl  0.5000  0.5000  0.7927